Record 1
# CuW2

A geometry-optimized CuW2 structure (PBE, Alexandria).

Geometry as extended XYZ:
```
6
Lattice="1.564 6.874 3.074 -3.650 -5.549 -3.876 -2.262 -1.217 3.871" Properties=species:S:1:pos:R:3 pbc="T T T"
W -3.016 -0.909 2.133
Cu -1.288 3.208 4.437
Cu -3.060 -3.100 -1.368
W 0.366 5.063 3.199
W -1.332 1.017 0.935
W -4.714 -4.955 -0.130
```

Results
Formation energy, eV/atom: 0.39
Space group: Cmcm, No. 63

Record 2
# NiTe2I

A geometry-optimized NiTe2I structure (PBE, Alexandria).

Geometry as extended XYZ:
```
8
Lattice="8.637 0.000 -0.384 3.174 5.354 -2.724 -3.174 5.354 2.724" Properties=species:S:1:pos:R:3 pbc="T T T"
Ni 4.891 5.455 1.074
Te 10.289 4.174 -2.456
Te 2.797 6.535 0.460
I 8.064 6.853 -1.650
Te -1.652 6.535 2.072
Te 5.840 4.174 -0.843
I 0.572 3.855 1.266
Ni 3.746 5.253 -1.458
```

Results
Space group: C2/c, No. 15
Energy relative to the elements, uncorrected, meV/atom: 62